A plane-wave DFT calculation with PBE was carried out for crystalline La7PrEr2 at its relaxed geometry.

The space group is P-1 (No. 2) and the conventional cell measures 6.353, 6.393 and 9.747 Å, with angles of 102.78, 108.55 and 99.81 degrees. The asymmetric unit holds La at (0.000, 0.000, 0.000), La at (0.201, 0.596, 0.197), La at (0.203, 0.106, 0.705), La at (0.403, 0.198, 0.398), Pr at (0.000, 0.500, 0.500) and Er at (0.402, 0.703, 0.903).

The energy relative to the lowest polymorph listed for this composition comes out at 0 meV per atom. The calculated total energy is -4.8234 eV per atom. For the formation energy, the calculation gives 0.376 kcal/mol of atoms. For the total magnetization, the calculation gives 0.0 μB per cell.

***

A plane-wave DFT calculation with PBE was carried out for crystalline LaPr14Er at its relaxed geometry.

The space group is Amm2 (No. 38) and the conventional cell measures 10.506, 10.462 and 10.466 Å, with angles of 90.00, 90.00 and 90.00 degrees. The asymmetric unit holds La at (0.000, 0.000, 0.000), Pr at (0.000, 0.249, 0.750), Pr at (0.248, 0.000, 0.251), Pr at (0.248, 0.000, 0.748), Pr at (0.248, 0.248, 0.499), Pr at (0.500, 0.000, 0.500), Pr at (0.500, 0.000, 0.999), Pr at (0.500, 0.249, 0.249) and Er at (0.000, 0.000, 0.499).

The calculated total energy is -4.7642 eV per atom. For the formation energy, the calculation gives 0.255 kcal/mol of atoms. For the total magnetization, the calculation gives 0.0 μB per cell.

***

A plane-wave DFT calculation with PBE was carried out for crystalline La2Pr7Er2 at its relaxed geometry.

The space group is Cmmm (No. 65) and the conventional cell measures 6.797, 12.422 and 9.637 Å, with angles of 90.00, 90.00 and 90.00 degrees. The asymmetric unit holds La at (0.248, 0.000, 0.000), Pr at (0.000, 0.000, 0.500), Pr at (0.000, 0.500, 0.322), Pr at (0.250, 0.250, 0.185) and Er at (0.000, 0.268, 0.500).

The energy relative to the lowest polymorph listed for this composition comes out at 185 meV per atom. The calculated total energy is -4.4577 eV per atom. For the formation energy, the calculation gives 7.132 kcal/mol of atoms. For the total magnetization, the calculation gives 0.0 μB per cell.

***

A plane-wave DFT calculation with PBE was carried out for crystalline LaPrEr2 at its relaxed geometry.

The space group is P4/mmm (No. 123) and the conventional cell measures 3.676, 3.676 and 9.926 Å, with angles of 90.00, 90.00 and 90.00 degrees. The asymmetric unit holds La at (0.000, 0.000, 0.000), Pr at (0.000, 0.000, 0.500) and Er at (0.500, 0.500, 0.251).

The energy relative to the lowest polymorph listed for this composition comes out at 11 meV per atom. The calculated total energy is -4.6821 eV per atom. For the formation energy, the calculation gives 0.602 kcal/mol of atoms. For the total magnetization, the calculation gives 0.0 μB per cell.

***

A plane-wave DFT calculation with PBE was carried out for crystalline La10PrEr4 at its relaxed geometry.

The space group is I4/mmm (No. 139) and the conventional cell measures 11.585, 11.585 and 7.960 Å, with angles of 90.00, 90.00 and 90.00 degrees. The asymmetric unit holds La at (0.000, 0.219, 0.209), La at (0.000, 0.500, 0.250), Pr at (0.000, 0.000, 0.500) and Er at (0.230, 0.230, 0.500).

The calculated total energy is -4.6145 eV per atom. For the formation energy, the calculation gives 4.748 kcal/mol of atoms. For the total magnetization, the calculation gives 0.0 μB per cell.

***

A plane-wave DFT calculation with PBE was carried out for crystalline La3Pr6Er at its relaxed geometry.

The space group is Cmc2_1 (No. 36) and the conventional cell measures 13.710, 16.495 and 6.441 Å, with angles of 90.00, 90.00 and 90.00 degrees. The asymmetric unit holds La at (0.000, 0.137, 0.000), La at (0.206, 0.429, 0.362), Pr at (0.000, 0.242, 0.521), Pr at (0.000, 0.439, 0.633), Pr at (0.119, 0.059, 0.483), Pr at (0.224, 0.291, 0.813) and Er at (0.000, 0.348, 0.085).

The calculated total energy is -4.6404 eV per atom. For the formation energy, the calculation gives 3.731 kcal/mol of atoms. For the total magnetization, the calculation gives 0.0 μB per cell.

***

A plane-wave DFT calculation with PBE was carried out for crystalline LaPr12Er3 at its relaxed geometry.

The space group is P4/mmm (No. 123) and the conventional cell measures 5.200, 5.200 and 20.809 Å, with angles of 90.00, 90.00 and 90.00 degrees. The asymmetric unit holds La at (0.000, 0.000, 0.000), Pr at (0.000, 0.500, 0.128), Pr at (0.000, 0.500, 0.376), Pr at (0.500, 0.500, 0.000), Pr at (0.500, 0.500, 0.253), Pr at (0.500, 0.500, 0.500), Er at (0.000, 0.000, 0.252) and Er at (0.000, 0.000, 0.500).

The calculated total energy is -4.7343 eV per atom. For the formation energy, the calculation gives 0.319 kcal/mol of atoms. For the total magnetization, the calculation gives 0.0 μB per cell.

***

A plane-wave DFT calculation with PBE was carried out for crystalline La3Pr5Er2 at its relaxed geometry.

The space group is C2/c (No. 15) and the conventional cell measures 11.087, 14.952 and 10.193 Å, with angles of 90.00, 122.65 and 90.00 degrees. The asymmetric unit holds La at (0.000, 0.227, 0.250), La at (0.151, 0.126, 0.058), Pr at (0.000, 0.018, 0.250), Pr at (0.000, 0.271, 0.750), Pr at (0.000, 0.477, 0.750), Pr at (0.239, 0.377, 0.237) and Er at (0.155, 0.376, 0.555).

The calculated total energy is -4.6250 eV per atom. For the formation energy, the calculation gives 3.587 kcal/mol of atoms. For the total magnetization, the calculation gives 0.0 μB per cell.